Record 1
# AlIrPb (SCAN, PBEsol geometry)
data_AlIrPb
_chemical_formula_sum 'Al1 Ir1 Pb1'
_cell_length_a 3.195
_cell_length_b 3.195
_cell_length_c 6.407
_cell_angle_alpha 90.00
_cell_angle_beta 90.00
_cell_angle_gamma 120.00
_symmetry_space_group_name_H-M 'P 1'
_symmetry_Int_Tables_number 1
_symmetry_space_group_name_Hall 'P 1'
loop_
_atom_site_label
_atom_site_type_symbol
_atom_site_fract_x
_atom_site_fract_y
_atom_site_fract_z
Al1 Al 0.000 0.000 0.954
Pb1 Pb 0.333 0.667 0.350
Ir1 Ir 0.667 0.333 0.696
# volume	56.65	Å³/f.u.
# space group	P3m1, No. 156
# total moment	0.00	μB per cell
# formation energy	4.5	kJ/mol of atoms

***

Record 2
# AlIrPb2 (SCAN, PBEsol geometry)
data_AlIrPb2
_chemical_formula_sum 'Al1 Ir1 Pb2'
_cell_length_a 3.254
_cell_length_b 3.254
_cell_length_c 8.044
_cell_angle_alpha 90.00
_cell_angle_beta 90.00
_cell_angle_gamma 90.00
_symmetry_space_group_name_H-M 'P 1'
_symmetry_Int_Tables_number 1
_symmetry_space_group_name_Hall 'P 1'
loop_
_atom_site_label
_atom_site_type_symbol
_atom_site_fract_x
_atom_site_fract_y
_atom_site_fract_z
Pb1 Pb 0.000 0.000 0.720
Pb2 Pb 0.000 0.000 0.280
Al1 Al 0.500 0.500 0.000
Ir1 Ir 0.500 0.500 0.500
# volume	85.16	Å³/f.u.
# space group	P4/mmm, No. 123
# total moment	0.00	μB per cell
# formation energy	41.9	kJ/mol of atoms

***

Record 3
# AlIrPb (SCAN, PBEsol geometry)
data_AlIrPb
_chemical_formula_sum 'Al1 Ir1 Pb1'
_cell_length_a 4.449
_cell_length_b 4.449
_cell_length_c 4.449
_cell_angle_alpha 60.00
_cell_angle_beta 60.00
_cell_angle_gamma 60.00
_symmetry_space_group_name_H-M 'P 1'
_symmetry_Int_Tables_number 1
_symmetry_space_group_name_Hall 'P 1'
loop_
_atom_site_label
_atom_site_type_symbol
_atom_site_fract_x
_atom_site_fract_y
_atom_site_fract_z
Al1 Al 0.000 0.000 0.000
Ir1 Ir 0.500 0.500 0.500
Pb1 Pb 0.250 0.250 0.250
# volume	62.28	Å³/f.u.
# space group	F-43m, No. 216
# total moment	0.00	μB per cell
# formation energy	65.8	kJ/mol of atoms

***

Record 4
# AlIrPb3 (SCAN, PBEsol geometry)
data_AlIrPb3
_chemical_formula_sum 'Al1 Ir1 Pb3'
_cell_length_a 5.244
_cell_length_b 5.244
_cell_length_c 5.244
_cell_angle_alpha 90.00
_cell_angle_beta 90.00
_cell_angle_gamma 90.00
_symmetry_space_group_name_H-M 'P 1'
_symmetry_Int_Tables_number 1
_symmetry_space_group_name_Hall 'P 1'
loop_
_atom_site_label
_atom_site_type_symbol
_atom_site_fract_x
_atom_site_fract_y
_atom_site_fract_z
Al1 Al 0.500 0.500 0.500
Pb1 Pb 0.000 0.500 0.000
Pb2 Pb 0.000 0.000 0.500
Pb3 Pb 0.500 0.000 0.000
Ir1 Ir 0.000 0.000 0.000
# volume	144.20	Å³/f.u.
# space group	Pm-3m, No. 221
# total moment	0.00	μB per cell
# formation energy	48.1	kJ/mol of atoms

***

Record 5
# AlIrPb2 (SCAN, PBEsol geometry)
data_AlIrPb2
_chemical_formula_sum 'Al1 Ir1 Pb2'
_cell_length_a 4.057
_cell_length_b 4.554
_cell_length_c 4.488
_cell_angle_alpha 90.00
_cell_angle_beta 90.00
_cell_angle_gamma 90.00
_symmetry_space_group_name_H-M 'P 1'
_symmetry_Int_Tables_number 1
_symmetry_space_group_name_Hall 'P 1'
loop_
_atom_site_label
_atom_site_type_symbol
_atom_site_fract_x
_atom_site_fract_y
_atom_site_fract_z
Al1 Al 0.500 0.500 0.000
Pb1 Pb 0.000 0.500 0.500
Pb2 Pb 0.000 0.000 0.000
Ir1 Ir 0.500 0.000 0.500
# volume	82.93	Å³/f.u.
# space group	Pmmm, No. 47
# total moment	0.00	μB per cell
# formation energy	52.7	kJ/mol of atoms

***

Record 6
# Al2IrPd (SCAN, PBEsol geometry)
data_Al2IrPd
_chemical_formula_sum 'Al4 Ir2 Pd2'
_cell_length_a 3.961
_cell_length_b 3.961
_cell_length_c 8.646
_cell_angle_alpha 103.24
_cell_angle_beta 103.24
_cell_angle_gamma 90.00
_symmetry_space_group_name_H-M 'P 1'
_symmetry_Int_Tables_number 1
_symmetry_space_group_name_Hall 'P 1'
loop_
_atom_site_label
_atom_site_type_symbol
_atom_site_fract_x
_atom_site_fract_y
_atom_site_fract_z
Al1 Al 0.125 0.118 0.750
Al2 Al 0.882 0.375 0.250
Al3 Al 0.625 0.632 0.750
Al4 Al 0.368 0.875 0.250
Pd1 Pd 0.500 0.500 0.000
Pd2 Pd 0.750 0.250 0.500
Ir1 Ir 0.250 0.750 0.500
Ir2 Ir 0.000 0.000 0.000
# volume	64.16	Å³/f.u.
# space group	I-42d, No. 122
# total moment	0.00	μB per cell
# formation energy	-29.4	kJ/mol of atoms

***

Record 7
# AlIrPd2Rh (SCAN, PBEsol geometry)
data_AlIrPd2Rh
_chemical_formula_sum 'Al1 Ir1 Pd2 Rh1'
_cell_length_a 4.556
_cell_length_b 4.795
_cell_length_c 4.795
_cell_angle_alpha 90.00
_cell_angle_beta 90.00
_cell_angle_gamma 90.00
_symmetry_space_group_name_H-M 'P 1'
_symmetry_Int_Tables_number 1
_symmetry_space_group_name_Hall 'P 1'
loop_
_atom_site_label
_atom_site_type_symbol
_atom_site_fract_x
_atom_site_fract_y
_atom_site_fract_z
Rh1 Rh 0.500 0.000 0.000
Pd1 Pd 0.000 0.000 0.500
Pd2 Pd 0.000 0.500 0.000
Ir1 Ir 0.000 0.000 0.000
Al1 Al 0.500 0.500 0.500
# volume	104.73	Å³/f.u.
# space group	P4/mmm, No. 123
# total moment	0.00	μB per cell
# formation energy	112.1	kJ/mol of atoms

***

Record 8
# AlIrPt2 (SCAN, PBEsol geometry)
data_AlIrPt2
_chemical_formula_sum 'Al1 Ir1 Pt2'
_cell_length_a 2.746
_cell_length_b 3.817
_cell_length_c 5.503
_cell_angle_alpha 90.00
_cell_angle_beta 90.00
_cell_angle_gamma 90.00
_symmetry_space_group_name_H-M 'P 1'
_symmetry_Int_Tables_number 1
_symmetry_space_group_name_Hall 'P 1'
loop_
_atom_site_label
_atom_site_type_symbol
_atom_site_fract_x
_atom_site_fract_y
_atom_site_fract_z
Al1 Al 0.500 0.500 0.000
Pt1 Pt 0.000 0.000 0.752
Pt2 Pt 0.000 0.000 0.248
Ir1 Ir 0.500 0.500 0.500
# volume	57.67	Å³/f.u.
# space group	Pmmm, No. 47
# total moment	0.00	μB per cell
# formation energy	-47.8	kJ/mol of atoms

***

> Look up the formation energy of the fourth one.

48.1 kJ/mol of atoms